1.
Density functional theory data (GGA-PBE) for a relaxed LiTc2P2 crystal.

It has space group P4/mbm (No. 127), with a = 6.781 Å, b = 6.781 Å, c = 2.918 Å, α = 90.00°, β = 90.00° and γ = 90.00°. The inequivalent atoms are Li at (0.000, 0.000, 0.000), Tc at (0.147, 0.353, 0.500) and P at (0.147, 0.647, 0.000).

The calculation puts the final energy at -35.592 eV/f.u. For the polymorph energy (0 for the lowest one), the calculation gives 112 meV/atom. The volume comes out at 134.2 Å³/cell. As for the density of states at the Fermi level: 0.566 states/eV per atom. As for the size of the total moment: 0.0 Bohr magnetons per cell.

2.
Density functional theory data (GGA-PBE) for a relaxed LiTcP3 crystal.

It has space group Pm-3m (No. 221), with a = 4.661 Å, b = 4.661 Å, c = 4.661 Å, α = 90.00°, β = 90.00° and γ = 90.00°. The inequivalent atoms are Li at (0.000, 0.000, 0.000), Tc at (0.500, 0.500, 0.500) and P at (0.000, 0.500, 0.500).

The calculation puts the final energy at -26.818 eV/f.u. For the polymorph energy (0 for the lowest one), the calculation gives 0 meV/atom. The volume comes out at 101.3 Å³/cell. As for the density of states at the Fermi level: 0.789 states/eV per atom. As for the size of the total moment: 0.0 Bohr magnetons per cell.

3.
Density functional theory data (GGA-PBE) for a relaxed LiTc4P crystal.

It has space group F-43m (No. 216), with a = 7.209 Å, b = 7.209 Å, c = 7.209 Å, α = 90.00°, β = 90.00° and γ = 90.00°. The inequivalent atoms are Li at (0.000, 0.000, 0.000), Tc at (0.124, 0.124, 0.624) and P at (0.250, 0.250, 0.250).

The calculation puts the final energy at -45.291 eV/f.u. The volume comes out at 374.7 Å³/cell. As for the density of states at the Fermi level: 1.027 states/eV per atom. As for the size of the total moment: 0.0 Bohr magnetons per cell.

4.
Density functional theory data (GGA-PBE) for a relaxed Li2TcP crystal.

It has space group Cm (No. 8), with a = 8.441 Å, b = 2.588 Å, c = 4.967 Å, α = 90.00°, β = 96.16° and γ = 90.00°. The inequivalent atoms are Li at (0.000, 0.000, 0.000), Li at (0.238, 0.000, 0.787), Tc at (0.255, 0.500, 0.311) and P at (0.001, 0.500, 0.487).

The calculation puts the final energy at -20.002 eV/f.u. The volume comes out at 107.9 Å³/cell. As for the density of states at the Fermi level: 0.548 states/eV per atom. As for the size of the total moment: 0.0 Bohr magnetons per cell.

no.,ΔH_f (0 K) (eV per atom)
1,-0.425
2,0.338
3,0.583
4,-0.100